Crystalline Sr3CdAg3 at its relaxed geometry, computed with PBE.

```
Sr3CdAg3
1.0
6.005 -2.363 0.000
6.005 2.363 0.000
-5.478 0.000 15.119
Sr Cd Ag
6 2 6
direct
0.031 0.031 0.385
0.105 0.105 0.923
0.245 0.245 0.231
0.755 0.755 0.769
0.895 0.895 0.077
0.969 0.969 0.615
0.259 0.259 0.601
0.741 0.741 0.399
0.374 0.374 0.458
0.394 0.394 0.922
0.464 0.464 0.767
0.536 0.536 0.233
0.606 0.606 0.078
0.626 0.626 0.542
```

Computed properties:
For the energy above the lowest structure with this stoichiometry, the calculation gives 0.000 eV per atom. The density of states at the Fermi level comes out at 0.50 states/eV per atom. The value obtained for the total energy is -2.386 eV per atom. The value obtained for the density is 5.4 g cm⁻³. The volume comes out at 429.1 Å³ per cell. As for the formation energy: -0.312 eV per atom.